DFT (PBE-GGA) results for crystalline KCdInAu2 at its relaxed geometry.

Results
Magnetic moment, Bohr magnetons per cell: 0.0
Formation enthalpy at 0 K, eV per formula unit: -1.40
V, A^3/atom: 26.6
Electronic total energy, eV/atom: -2.540

Unit cell a=4.684 b=4.684 c=6.914 alpha=109.80 beta=109.80 gamma=90.00
Sites, in units of the cell vectors:
K (0.000, 0.000, 0.000)
Cd (0.750, 0.250, 0.500)
In (0.250, 0.750, 0.500)
Au (0.614, 0.614, 0.227)
Au (0.386, 0.386, 0.773)